1.
Computed, not measured: a geometry-optimized Ac2MgAl9 structure at the PBE-GGA level of DFT.

Calculated values
E (eV/atom): -3.7406
N(E_F) (states/eV per cell): 15.55
Total magnetic moment (μB/f.u.): 0.00
Formation energy from the elements (eV per atom): -0.12

abc: 5.9235 5.9235 26.2986
angles: 90.00 90.00 120.00
Last column: nearest neighbours and their distance in Å.
Space group R-3m (No. 166, hexagonal axes)
Unique sites:
Ac (0.0000, 0.0000, 0.1391)  12 Al 3.35-3.50, 1 Mg 3.66, 3 Ac 3.71
Mg (0.0000, 0.0000, 0.0000)  18 Al 3.42-3.63, 2 Ac 3.66
Al (0.0000, 0.0000, 0.3358)  6 Al 2.69-2.72
Al (0.0000, 0.0000, 0.5000)  6 Al 2.89
Al (0.0116, 0.5058, 0.9203)  5 Al 2.69-2.89

2.
Computed, not measured: a geometry-optimized Pm12PrDy3 structure at the PBE-GGA level of DFT.

Calculated values
E (eV/atom): -4.7098
N(E_F) (states/eV per cell): 23.97
Total magnetic moment (μB/f.u.): 0.00
Formation energy from the elements (eV per atom): 0.01

abc: 5.1379 5.1379 20.5298
angles: 90.00 90.00 90.00
Last column: nearest neighbours and their distance in Å.
Space group P4/mmm (No. 123)
Unique sites:
Pm (0.0000, 0.0000, 0.0000)  8 Pm 3.62, 4 Dy 3.63
Pm (0.0000, 0.0000, 0.2481)  8 Pm 3.61-3.63, 4 Dy 3.63
Pm (0.0000, 0.0000, 0.5000)  4 Pr 3.63, 8 Pm 3.66
Pm (0.0000, 0.5000, 0.1243)  8 Pm 3.61-3.63, 4 Dy 3.62
Pm (0.0000, 0.5000, 0.3729)  2 Dy 3.62, 8 Pm 3.63-3.66, 2 Pr 3.66
Pr (0.5000, 0.5000, 0.5000)  12 Pm 3.63-3.66
Dy (0.5000, 0.5000, 0.0000)  12 Pm 3.62-3.63
Dy (0.5000, 0.5000, 0.2486)  12 Pm 3.62-3.63

3.
Computed, not measured: a geometry-optimized K2TlAgPt structure at the PBE-GGA level of DFT.

Calculated values
E (eV/atom): -2.6343
N(E_F) (states/eV per cell): 0.88
Total magnetic moment (μB/f.u.): 0.00
Formation energy from the elements (eV per atom): 0.06

abc: 6.1270 6.1270 5.2645
angles: 90.00 90.00 90.00
Last column: nearest neighbours and their distance in Å.
Space group P4/mmm (No. 123)
Unique sites:
K (0.0000, 0.5000, 0.0000)  2 Pt 3.06
Tl (0.0000, 0.0000, 0.5000)  2 Pt 2.63
Ag (0.5000, 0.5000, 0.5000)  8 K 4.04, 4 Tl 4.33
Pt (0.0000, 0.0000, 0.0000)  2 Tl 2.63